VASP calculation (PBE) on an optimized crystal structure of CdFe3W.

## Properties
DFT formation energy	133.7	kJ/mol of atoms
polymorph energy (0 for the lowest one)	0.000	eV per atom
volume	18.4	Å³ per atom
crystal system	cubic
final energy	-32.33	eV for the cell shown
size of the total moment	0.902	μB per atom

Cell: 4.515 4.515 4.515 Å, 90.00 90.00 90.00°
Positions (direct):
Fe 0.000 0.000 0.500
Fe 0.500 0.000 0.000
Fe 0.000 0.500 0.000
Cd 0.500 0.500 0.500
W 0.000 0.000 0.000